1.
The following is a DFT calculation (PBE with a Hubbard U) of a relaxed structure of K3CoW2O9.

Unit cell a=5.6389 b=5.6389 c=6.8894 alpha=90.00 beta=90.00 gamma=120.00
Element x y z (fractional)
1 K 0.0000 0.0000 0.0000
2 K 0.3333 0.6667 0.6647
3 K 0.6667 0.3333 0.3353
4 Co 0.0000 0.0000 0.5000
5 W 0.3333 0.6667 0.1772
6 W 0.6667 0.3333 0.8228
7 O 0.0000 0.5000 0.0000
8 O 0.1705 0.3410 0.3279
9 O 0.1705 0.8295 0.3279
10 O 0.3410 0.1705 0.6721
11 O 0.5000 0.0000 0.0000
12 O 0.5000 0.5000 0.0000
13 O 0.6590 0.8295 0.3279
14 O 0.8295 0.1705 0.6721
15 O 0.8295 0.6590 0.6721

Calculated values
- raw total energy (eV/cell) = -94.7
- density of states at the Fermi level (states/eV/atom) = 0.085
- ρ (g/cm3) = 6.0



2.
The following is a DFT calculation (PBE with a Hubbard U) of a relaxed structure of KYCoO3.

Unit cell a=7.3569 b=3.5312 c=9.2763 alpha=90.00 beta=110.25 gamma=90.00
Element x y z (fractional)
1 K 0.1938 0.2500 0.1678
2 K 0.8062 0.7500 0.8322
3 Y 0.3313 0.7500 0.8566
4 Y 0.6687 0.2500 0.1434
5 Co 0.0407 0.2500 0.6177
6 Co 0.9593 0.7500 0.3823
7 O 0.1111 0.2500 0.8407
8 O 0.1593 0.7500 0.5910
9 O 0.4595 0.7500 0.1164
10 O 0.5405 0.2500 0.8836
11 O 0.8407 0.2500 0.4090
12 O 0.8889 0.7500 0.1593

Calculated values
- raw total energy (eV/cell) = -80.3
- density of states at the Fermi level (states/eV/atom) = 0.000
- ρ (g/cm3) = 3.5



3.
The following is a DFT calculation (PBE with a Hubbard U) of a relaxed structure of K2YCoO4.

Unit cell a=12.9466 b=11.6526 c=6.9439 alpha=84.19 beta=63.56 gamma=32.25
Element x y z (fractional)
1 K 0.0744 0.0744 0.6756
2 K 0.3244 0.3244 0.9256
3 K 0.6756 0.6756 0.0744
4 K 0.9256 0.9256 0.3244
5 Y 0.1250 0.1250 0.1250
6 Y 0.8750 0.8750 0.8750
7 Co 0.3750 0.3750 0.3750
8 Co 0.6250 0.6250 0.6250
9 O 0.0251 0.6572 0.5352
10 O 0.2825 0.5352 0.6572
11 O 0.3428 0.9749 0.7175
12 O 0.4648 0.7175 0.9749
13 O 0.5352 0.2825 0.0251
14 O 0.6572 0.0251 0.2825
15 O 0.7175 0.4648 0.3428
16 O 0.9749 0.3428 0.4648

Calculated values
- raw total energy (eV/cell) = -92.9
- ρ (g/cm3) = 2.4



4.
The following is a DFT calculation (PBE with a Hubbard U) of a relaxed structure of K3Y3CoO8.

Unit cell a=7.3713 b=7.3713 c=7.3713 alpha=54.17 beta=54.17 gamma=54.17
Element x y z (fractional)
1 K 0.0000 0.5000 0.5000
2 K 0.5000 0.0000 0.5000
3 K 0.5000 0.5000 0.0000
4 Y 0.0000 0.0000 0.5000
5 Y 0.0000 0.5000 0.0000
6 Y 0.5000 0.0000 0.0000
7 Co 0.5000 0.5000 0.5000
8 O 0.2282 0.2282 0.2282
9 O 0.2617 0.7040 0.7040
10 O 0.2960 0.2960 0.7383
11 O 0.2960 0.7383 0.2960
12 O 0.7040 0.2617 0.7040
13 O 0.7040 0.7040 0.2617
14 O 0.7383 0.2960 0.2960
15 O 0.7718 0.7718 0.7718

Calculated values
- raw total energy (eV/cell) = -101.8
- ρ (g/cm3) = 3.9



5.
The following is a DFT calculation (PBE with a Hubbard U) of a relaxed structure of KZn2CoO4.

Unit cell a=5.1294 b=5.1294 c=8.3161 alpha=90.00 beta=90.00 gamma=90.00
Element x y z (fractional)
1 K 0.0000 0.0000 0.0000
2 K 0.5000 0.5000 0.5000
3 Zn 0.0000 0.5000 0.2500
4 Zn 0.0000 0.5000 0.7500
5 Zn 0.5000 0.0000 0.2500
6 Zn 0.5000 0.0000 0.7500
7 Co 0.0000 0.0000 0.5000
8 Co 0.5000 0.5000 0.0000
9 O 0.1961 0.1961 0.6479
10 O 0.1961 0.8039 0.3521
11 O 0.3039 0.3039 0.1479
12 O 0.3039 0.6961 0.8521
13 O 0.6961 0.3039 0.8521
14 O 0.6961 0.6961 0.1479
15 O 0.8039 0.1961 0.3521
16 O 0.8039 0.8039 0.6479

Calculated values
- raw total energy (eV/cell) = -76.7
- ρ (g/cm3) = 4.4



6.
The following is a DFT calculation (PBE with a Hubbard U) of a relaxed structure of K2ZnCoO4.

Unit cell a=11.3580 b=9.9940 c=6.5255 alpha=84.08 beta=61.07 gamma=34.85
Element x y z (fractional)
1 K 0.0564 0.0564 0.6936
2 K 0.3064 0.3064 0.9436
3 K 0.6936 0.6936 0.0564
4 K 0.9436 0.9436 0.3064
5 Zn 0.1250 0.1250 0.1250
6 Zn 0.8750 0.8750 0.8750
7 Co 0.3750 0.3750 0.3750
8 Co 0.6250 0.6250 0.6250
9 O 0.0147 0.6577 0.5432
10 O 0.2844 0.5432 0.6577
11 O 0.3423 0.9853 0.7156
12 O 0.4568 0.7156 0.9853
13 O 0.5432 0.2844 0.0147
14 O 0.6577 0.0147 0.2844
15 O 0.7156 0.4568 0.3423
16 O 0.9853 0.3423 0.4568

Calculated values
- raw total energy (eV/cell) = -74.7
- ρ (g/cm3) = 3.0



7.
The following is a DFT calculation (PBE with a Hubbard U) of a relaxed structure of K2ZrCoO.

Unit cell a=6.4692 b=6.4692 c=3.3561 alpha=90.00 beta=90.00 gamma=90.00
Element x y z (fractional)
1 K 0.0000 0.5000 0.0000
2 K 0.5000 0.0000 0.0000
3 Zr 0.0000 0.0000 0.5000
4 Co 0.5000 0.5000 0.5000
5 O 0.5000 0.5000 0.0000

Calculated values
- raw total energy (eV/cell) = -17.9
- density of states at the Fermi level (states/eV/atom) = 1.382
- ρ (g/cm3) = 2.9



8.
The following is a DFT calculation (PBE with a Hubbard U) of a relaxed structure of KZrCoO2.

Unit cell a=4.4084 b=4.4084 c=5.3694 alpha=90.00 beta=90.00 gamma=90.00
Element x y z (fractional)
1 K 0.0000 0.0000 0.0000
2 Zr 0.0000 0.0000 0.5000
3 Co 0.5000 0.5000 0.5000
4 O 0.0000 0.5000 0.0000
5 O 0.5000 0.0000 0.0000

Calculated values
- raw total energy (eV/cell) = -17.0
- density of states at the Fermi level (states/eV/atom) = 1.336
- ρ (g/cm3) = 3.5